# ZnFe2Ge, optimized geometry, DFT PBE
data_ZnFe2Ge
_cell_length_a 2.7199
_cell_length_b 2.7199
_cell_length_c 24.6554
_cell_angle_alpha 90.00
_cell_angle_beta 90.00
_cell_angle_gamma 120.00
_symmetry_space_group_name_H-M 'R 3 m'
_symmetry_Int_Tables_number 160
_symmetry_space_group_name_Hall 'R 3 -2"'
loop_
_atom_site_label
_atom_site_type_symbol
_atom_site_fract_x
_atom_site_fract_y
_atom_site_fract_z
_atom_site_occupancy
Zn1 Zn 0.0000 0.0000 0.0000 1
Fe1 Fe 0.0000 0.0000 0.5816 1
Fe2 Fe 0.0000 0.0000 0.7515 1
Ge1 Ge 0.0000 0.0000 0.1664 1
# **Volume**: 158 Å³ per cell
# **ΔE_f**: 113 meV/atom
# **Theoretical density**: 7876 kg/m³

***

# ZnFeGe, optimized geometry, DFT PBE
data_ZnFeGe
_cell_length_a 4.0221
_cell_length_b 4.0221
_cell_length_c 2.9816
_cell_angle_alpha 90.00
_cell_angle_beta 90.00
_cell_angle_gamma 120.00
_symmetry_space_group_name_H-M 'P -6 m 2'
_symmetry_Int_Tables_number 187
_symmetry_space_group_name_Hall 'P -6 2'
loop_
_atom_site_label
_atom_site_type_symbol
_atom_site_fract_x
_atom_site_fract_y
_atom_site_fract_z
_atom_site_occupancy
Zn1 Zn 0.0000 0.0000 0.0000 1
Fe1 Fe 0.3333 0.6667 0.5000 1
Ge1 Ge 0.6667 0.3333 0.5000 1
# **Volume**: 42 Å³ per cell
# **ΔE_f**: 192 meV/atom
# **Theoretical density**: 7708 kg/m³

***

# Zn2FeGe2, optimized geometry, DFT PBE
data_Zn2FeGe2
_cell_length_a 6.3792
_cell_length_b 6.3792
_cell_length_c 3.9223
_cell_angle_alpha 90.00
_cell_angle_beta 90.00
_cell_angle_gamma 90.00
_symmetry_space_group_name_H-M 'P 4/m b m'
_symmetry_Int_Tables_number 127
_symmetry_space_group_name_Hall '-P 4 2ab'
loop_
_atom_site_label
_atom_site_type_symbol
_atom_site_fract_x
_atom_site_fract_y
_atom_site_fract_z
_atom_site_occupancy
Zn1 Zn 0.1624 0.3376 0.0000 1
Fe1 Fe 0.0000 0.0000 0.5000 1
Ge1 Ge 0.1502 0.6502 0.5000 1
# **Volume**: 160 Å³ per cell
# **ΔE_f**: 226 meV/atom
# **Excess energy over the best structure of this formula in the dataset**: 0.0 meV/atom
# **Theoretical density**: 6907 kg/m³

***

# ZnFe6Ge, optimized geometry, DFT PBE
data_ZnFe6Ge
_cell_length_a 5.1567
_cell_length_b 5.1567
_cell_length_c 4.1815
_cell_angle_alpha 90.00
_cell_angle_beta 90.00
_cell_angle_gamma 120.00
_symmetry_space_group_name_H-M 'P -6 m 2'
_symmetry_Int_Tables_number 187
_symmetry_space_group_name_Hall 'P -6 2'
loop_
_atom_site_label
_atom_site_type_symbol
_atom_site_fract_x
_atom_site_fract_y
_atom_site_fract_z
_atom_site_occupancy
Zn1 Zn 0.0000 0.0000 0.0000 1
Fe1 Fe 0.3440 0.1720 0.5000 1
Fe2 Fe 0.5066 0.0132 0.0000 1
Ge1 Ge 0.3333 0.6667 0.5000 1
# **Volume**: 96 Å³ per cell
# **ΔE_f**: -39 meV/atom
# **Theoretical density**: 8157 kg/m³

***

# Zn3FeGe, optimized geometry, DFT PBE
data_Zn3FeGe
_cell_length_a 4.6117
_cell_length_b 4.6117
_cell_length_c 4.6117
_cell_angle_alpha 90.00
_cell_angle_beta 90.00
_cell_angle_gamma 90.00
_symmetry_space_group_name_H-M 'P m -3 m'
_symmetry_Int_Tables_number 221
_symmetry_space_group_name_Hall '-P 4 2 3'
loop_
_atom_site_label
_atom_site_type_symbol
_atom_site_fract_x
_atom_site_fract_y
_atom_site_fract_z
_atom_site_occupancy
Zn1 Zn 0.0000 0.0000 0.5000 1
Fe1 Fe 0.0000 0.0000 0.0000 1
Ge1 Ge 0.5000 0.5000 0.5000 1
# **Volume**: 98 Å³ per cell
# **ΔE_f**: 644 meV/atom
# **Excess energy over the best structure of this formula in the dataset**: 0.0 meV/atom
# **Theoretical density**: 5497 kg/m³

***

# ZnFeGe, optimized geometry, DFT PBE
data_ZnFeGe
_cell_length_a 2.6425
_cell_length_b 3.9674
_cell_length_c 4.3658
_cell_angle_alpha 90.00
_cell_angle_beta 90.00
_cell_angle_gamma 90.00
_symmetry_space_group_name_H-M 'P m m m'
_symmetry_Int_Tables_number 47
_symmetry_space_group_name_Hall '-P 2 2'
loop_
_atom_site_label
_atom_site_type_symbol
_atom_site_fract_x
_atom_site_fract_y
_atom_site_fract_z
_atom_site_occupancy
Zn1 Zn 0.0000 0.0000 0.0000 1
Fe1 Fe 0.5000 0.0000 0.5000 1
Ge1 Ge 0.0000 0.5000 0.5000 1
# **Volume**: 46 Å³ per cell
# **ΔE_f**: -30 meV/atom
# **Theoretical density**: 7034 kg/m³

***

# ZnFe2Ge, optimized geometry, DFT PBE
data_ZnFe2Ge
_cell_length_a 8.1160
_cell_length_b 2.6167
_cell_length_c 5.0151
_cell_angle_alpha 90.00
_cell_angle_beta 91.53
_cell_angle_gamma 90.00
_symmetry_space_group_name_H-M 'C 1 2/m 1'
_symmetry_Int_Tables_number 12
_symmetry_space_group_name_Hall '-C 2y'
loop_
_atom_site_label
_atom_site_type_symbol
_atom_site_fract_x
_atom_site_fract_y
_atom_site_fract_z
_atom_site_occupancy
Zn1 Zn 0.0000 0.0000 0.0000 1
Fe1 Fe 0.2278 0.5000 0.7444 1
Ge1 Ge 0.0000 0.0000 0.5000 1
# **Volume**: 106 Å³ per cell
# **ΔE_f**: 146 meV/atom
# **Theoretical density**: 7790 kg/m³

***

# Zn3FeGe, optimized geometry, DFT PBE
data_Zn3FeGe
_cell_length_a 4.7412
_cell_length_b 4.7412
_cell_length_c 4.7412
_cell_angle_alpha 90.00
_cell_angle_beta 90.00
_cell_angle_gamma 90.00
_symmetry_space_group_name_H-M 'P m -3 m'
_symmetry_Int_Tables_number 221
_symmetry_space_group_name_Hall '-P 4 2 3'
loop_
_atom_site_label
_atom_site_type_symbol
_atom_site_fract_x
_atom_site_fract_y
_atom_site_fract_z
_atom_site_occupancy
Zn1 Zn 0.0000 0.0000 0.5000 1
Fe1 Fe 0.5000 0.5000 0.5000 1
Ge1 Ge 0.0000 0.0000 0.0000 1
# **Volume**: 107 Å³ per cell
# **ΔE_f**: 950 meV/atom
# **Excess energy over the best structure of this formula in the dataset**: 305.7 meV/atom
# **Theoretical density**: 5059 kg/m³